A relaxed structure of TbSmTc. Source: the Open Quantum Materials Database, functional PBE.

Cell and atoms, written as CIF:
```
data_TbSmTc
_space_group_name_H-M_alt 'F -4 3 m'
_space_group_IT_number 216
_space_group_name_Hall 'F -4 2 3'
_cell_length_a 6.771
_cell_length_b 6.771
_cell_length_c 6.771
_cell_angle_alpha 90.00
_cell_angle_beta 90.00
_cell_angle_gamma 90.00
loop_
_atom_site_label
_atom_site_fract_x
_atom_site_fract_y
_atom_site_fract_z
Tb1 0.000 0.000 0.000
Sm1 0.250 0.250 0.250
Tc1 0.000 0.000 0.500
```

The energy relative to the elements is 963 meV per atom. The total moment comes out at 0.39 μB/f.u.

---

A relaxed structure of AlInAu2S4. Source: the Open Quantum Materials Database, functional PBE.

Cell and atoms, written as CIF:
```
data_AlInAu2S4
_space_group_name_H-M_alt 'I -4'
_space_group_IT_number 82
_cell_length_a 5.766
_cell_length_b 5.766
_cell_length_c 11.072
_cell_angle_alpha 90.00
_cell_angle_beta 90.00
_cell_angle_gamma 90.00
loop_
_space_group_symop_operation_xyz
'x,y,z'
'y,-x,-z'
'-x,-y,z'
'-y,x,-z'
'x+1/2,y+1/2,z+1/2'
'y+1/2,-x+1/2,-z+1/2'
'-x+1/2,-y+1/2,z+1/2'
'-y+1/2,x+1/2,-z+1/2'
loop_
_atom_site_label
_atom_site_fract_x
_atom_site_fract_y
_atom_site_fract_z
Al1 0.000 0.000 0.000
In1 0.000 0.500 0.250
Au1 0.000 0.000 0.500
Au2 0.000 0.500 0.750
S1 0.230 0.232 0.117
```

The total DFT energy (no corrections) is -66.0 eV per cell.